1.
Compound: KBaC3
Source: Alexandria via LeMat-Bulk
Functional: PBE
Structure: optimized geometry

a = 5.7455 Å, b = 5.7455 Å, c = 5.7455 Å
α = 90.00°, β = 90.00°, γ = 90.00°
With the nearest neighbours (Å) after each atom.
Fractional positions:
K (0.0000, 0.0000, 0.0000)  12 C 4.06
Ba (0.5000, 0.5000, 0.5000)  6 C 2.87
C (0.0000, 0.5000, 0.5000)  2 Ba 2.87
C (0.5000, 0.0000, 0.5000)  2 Ba 2.87
C (0.5000, 0.5000, 0.0000)  2 Ba 2.87

=====

2.
Compound: KBa2C2O6
Source: Alexandria via LeMat-Bulk
Functional: PBE
Structure: optimized geometry

a = 5.5835 Å, b = 5.5835 Å, c = 8.0806 Å
α = 90.00°, β = 90.00°, γ = 120.00°
With the nearest neighbours (Å) after each atom.
Fractional positions:
K (0.0000, 0.0000, 0.0000)  6 O 3.04
Ba (0.3333, 0.6667, 0.3194)  6 O 2.82
Ba (0.6667, 0.3333, 0.6806)  6 O 2.82
C (0.3333, 0.6667, 0.7110)  3 O 1.30
C (0.6667, 0.3333, 0.2890)  3 O 1.30
O (0.1984, 0.3969, 0.7084)  1 C 1.30
O (0.1984, 0.8016, 0.7084)  1 C 1.30
O (0.3969, 0.1984, 0.2916)  1 C 1.30
O (0.6031, 0.8016, 0.7084)  1 C 1.30
O (0.8016, 0.1984, 0.2916)  1 C 1.30
O (0.8016, 0.6031, 0.2916)  1 C 1.30

Summary:
Formation energy (no corrections) in eV per formula unit: -21.09

=====

3.
Compound: KBaPbC2
Source: Alexandria via LeMat-Bulk
Functional: PBE
Structure: optimized geometry

a = 5.0548 Å, b = 5.0548 Å, c = 5.9732 Å
α = 90.00°, β = 90.00°, γ = 90.00°
With the nearest neighbours (Å) after each atom.
Fractional positions:
K (0.0000, 0.0000, 0.0000)  2 Ba 2.99
Ba (0.0000, 0.0000, 0.5000)  4 C 2.53
Pb (0.5000, 0.5000, 0.0000)  4 K 3.57, 8 C 3.91
C (0.0000, 0.5000, 0.5000)  2 Ba 2.53
C (0.5000, 0.0000, 0.5000)  2 Ba 2.53

=====

4.
Compound: KBaCSe2
Source: Alexandria via LeMat-Bulk
Functional: PBE
Structure: optimized geometry

a = 5.2032 Å, b = 5.2032 Å, c = 4.9166 Å
α = 90.00°, β = 90.00°, γ = 90.00°
With the nearest neighbours (Å) after each atom.
Fractional positions:
K (0.0000, 0.0000, 0.0000)  8 Se 3.58, 4 Ba 3.68
Ba (0.5000, 0.5000, 0.0000)  2 C 2.46
C (0.5000, 0.5000, 0.5000)  2 Ba 2.46, 4 Se 2.60
Se (0.0000, 0.5000, 0.5000)  2 C 2.60
Se (0.5000, 0.0000, 0.5000)  2 C 2.60

Summary:
Formation energy (no corrections) in eV per formula unit: 0.70

=====

5.
Compound: K2BaCSe
Source: Alexandria via LeMat-Bulk
Functional: PBE
Structure: optimized geometry

a = 6.7072 Å, b = 6.7072 Å, c = 4.5206 Å
α = 90.00°, β = 90.00°, γ = 90.00°
With the nearest neighbours (Å) after each atom.
Fractional positions:
K (0.0000, 0.5000, 0.0000)  2 Ba 3.35
K (0.5000, 0.0000, 0.0000)  2 Ba 3.35
Ba (0.0000, 0.0000, 0.0000)  2 C 2.26
C (0.0000, 0.0000, 0.5000)  2 Ba 2.26
Se (0.5000, 0.5000, 0.5000)  8 K 4.04, 2 Se 4.52

Summary:
Formation energy (no corrections) in eV per formula unit: 4.23

=====

6.
Compound: K2BaTaC
Source: Alexandria via LeMat-Bulk
Functional: PBE
Structure: optimized geometry

a = 6.9749 Å, b = 6.9749 Å, c = 4.5425 Å
α = 90.00°, β = 90.00°, γ = 90.00°
With the nearest neighbours (Å) after each atom.
Fractional positions:
K (0.0000, 0.5000, 0.0000)  2 Ba 3.49
K (0.5000, 0.0000, 0.0000)  2 Ba 3.49
Ba (0.0000, 0.0000, 0.0000)  2 C 2.27
Ta (0.5000, 0.5000, 0.5000)  8 K 4.16, 2 Ta 4.54
C (0.0000, 0.0000, 0.5000)  2 Ba 2.27

=====

7.
Compound: BaLaC2
Source: Alexandria via LeMat-Bulk
Functional: PBE
Structure: optimized geometry

a = 6.9077 Å, b = 6.9077 Å, c = 8.3576 Å
α = 90.00°, β = 90.00°, γ = 90.00°
With the nearest neighbours (Å) after each atom.
Fractional positions:
Ba (0.0000, 0.0000, 0.0000)  4 C 2.89
Ba (0.0000, 0.5000, 0.2500)  4 C 2.89
Ba (0.5000, 0.0000, 0.7500)  4 C 2.89
Ba (0.5000, 0.5000, 0.5000)  4 C 2.89
La (0.0000, 0.0000, 0.5000)  4 C 2.45
La (0.0000, 0.5000, 0.7500)  4 C 2.45
La (0.5000, 0.0000, 0.2500)  4 C 2.45
La (0.5000, 0.5000, 0.0000)  4 C 2.45
C (0.1998, 0.2500, 0.6250)  2 La 2.45
C (0.2500, 0.6998, 0.8750)  2 La 2.45
C (0.2500, 0.8002, 0.3750)  2 La 2.45
C (0.3002, 0.2500, 0.1250)  2 La 2.45
C (0.6998, 0.7500, 0.1250)  2 La 2.45
C (0.7500, 0.1998, 0.3750)  2 La 2.45
C (0.7500, 0.3002, 0.8750)  2 La 2.45
C (0.8002, 0.7500, 0.6250)  2 La 2.45

=====

8.
Compound: Ba2LaC
Source: Alexandria via LeMat-Bulk
Functional: PBE
Structure: optimized geometry

a = 11.5807 Å, b = 11.5807 Å, c = 4.7361 Å
α = 90.00°, β = 90.00°, γ = 90.00°
With the nearest neighbours (Å) after each atom.
Fractional positions:
Ba (0.0905, 0.2500, 0.1250)  2 C 3.14
Ba (0.2500, 0.5905, 0.3750)  2 C 3.14
Ba (0.2500, 0.9095, 0.8750)  2 C 3.14
Ba (0.4095, 0.2500, 0.6250)  2 C 3.14
Ba (0.5905, 0.7500, 0.6250)  2 C 3.14
Ba (0.7500, 0.0905, 0.8750)  2 C 3.14
Ba (0.7500, 0.4095, 0.3750)  2 C 3.14
Ba (0.9095, 0.7500, 0.1250)  2 C 3.14
La (0.0000, 0.0000, 0.5000)  2 C 2.37
La (0.0000, 0.5000, 0.7500)  2 C 2.37
La (0.5000, 0.0000, 0.2500)  2 C 2.37
La (0.5000, 0.5000, 0.0000)  2 C 2.37
C (0.0000, 0.0000, 0.0000)  2 La 2.37
C (0.0000, 0.5000, 0.2500)  2 La 2.37
C (0.5000, 0.0000, 0.7500)  2 La 2.37
C (0.5000, 0.5000, 0.5000)  2 La 2.37

=====

9.
Compound: BaLa2C2
Source: Alexandria via LeMat-Bulk
Functional: PBE
Structure: optimized geometry

a = 7.6646 Å, b = 7.6646 Å, c = 3.6482 Å
α = 90.00°, β = 90.00°, γ = 90.00°
With the nearest neighbours (Å) after each atom.
Fractional positions:
Ba (0.0000, 0.0000, 0.0000)  4 C 2.89
Ba (0.5000, 0.5000, 0.0000)  4 C 2.89
La (0.1380, 0.3620, 0.5000)  6 C 2.87-2.91, 1 La 2.99
La (0.3620, 0.8620, 0.5000)  6 C 2.87-2.91, 1 La 2.99
La (0.6380, 0.1380, 0.5000)  6 C 2.87-2.91, 1 La 2.99
La (0.8620, 0.6380, 0.5000)  6 C 2.87-2.91, 1 La 2.99
C (0.1578, 0.6578, 0.0000)  6 La 2.87-2.91, 2 Ba 2.89
C (0.3422, 0.1578, 0.0000)  6 La 2.87-2.91, 2 Ba 2.89
C (0.6578, 0.8422, 0.0000)  6 La 2.87-2.91, 2 Ba 2.89
C (0.8422, 0.3422, 0.0000)  6 La 2.87-2.91, 2 Ba 2.89

=====

10.
Compound: Ba3LaC
Source: Alexandria via LeMat-Bulk
Functional: PBE
Structure: optimized geometry

a = 6.4485 Å, b = 6.4485 Å, c = 6.4485 Å
α = 90.00°, β = 90.00°, γ = 90.00°
With the nearest neighbours (Å) after each atom.
Fractional positions:
Ba (0.0000, 0.0000, 0.5000)  2 La 3.22
Ba (0.0000, 0.5000, 0.0000)  2 La 3.22
Ba (0.5000, 0.0000, 0.0000)  2 La 3.22
La (0.0000, 0.0000, 0.0000)  6 Ba 3.22
C (0.5000, 0.5000, 0.5000)  12 Ba 4.56

=====

11.
Compound: BaLa2C
Source: Alexandria via LeMat-Bulk
Functional: PBE
Structure: optimized geometry

a = 3.8158 Å, b = 3.8158 Å, c = 32.2080 Å
α = 90.00°, β = 90.00°, γ = 120.00°
With the nearest neighbours (Å) after each atom.
Fractional positions:
Ba (0.0000, 0.0000, 0.0000)  6 Ba 3.82, 2 La 3.93
Ba (0.3333, 0.6667, 0.6667)  6 Ba 3.82, 2 La 3.93
Ba (0.6667, 0.3333, 0.3333)  6 Ba 3.82, 2 La 3.93
La (0.0000, 0.0000, 0.1221)  3 C 2.63
La (0.0000, 0.0000, 0.8779)  3 C 2.63
La (0.3333, 0.6667, 0.5446)  3 C 2.63
La (0.3333, 0.6667, 0.7887)  3 C 2.63
La (0.6667, 0.3333, 0.2113)  3 C 2.63
La (0.6667, 0.3333, 0.4554)  3 C 2.63
C (0.0000, 0.0000, 0.5000)  6 La 2.63
C (0.3333, 0.6667, 0.1667)  6 La 2.63
C (0.6667, 0.3333, 0.8333)  6 La 2.63

=====

12.
Compound: BaLa2C2
Source: Alexandria via LeMat-Bulk
Functional: PBE
Structure: optimized geometry

a = 4.7623 Å, b = 4.7623 Å, c = 11.9940 Å
α = 90.00°, β = 90.00°, γ = 90.00°
With the nearest neighbours (Å) after each atom.
Fractional positions:
Ba (0.0000, 0.0000, 0.0000)  8 C 3.83, 10 La 3.88-3.98
Ba (0.5000, 0.5000, 0.5000)  8 C 3.83, 10 La 3.88-3.98
La (0.0000, 0.0000, 0.3239)  4 C 2.54
La (0.0000, 0.0000, 0.6761)  4 C 2.54
La (0.5000, 0.5000, 0.1761)  4 C 2.54
La (0.5000, 0.5000, 0.8239)  4 C 2.54
C (0.0000, 0.5000, 0.2500)  4 La 2.54
C (0.0000, 0.5000, 0.7500)  4 La 2.54
C (0.5000, 0.0000, 0.2500)  4 La 2.54
C (0.5000, 0.0000, 0.7500)  4 La 2.54

=====

For reference, Fermi-level density of states by record: 0.004, 0.115, 0.815, 0.284, 0.684, 1.392, 0.890, 1.103, 0.677, 1.105, 1.390, 0.863 states/eV/atom.
For reference, raw total energy by record: -3.247, -6.748, -2.797, -3.702, -2.520, -2.844, -5.321, -4.069, -5.490, -2.193, -5.231, -5.708 eV per atom.